A relaxed structure of Ce2YPb3, computed with PBE.

Cell and atoms, written as POSCAR:
```
Ce2YPb3
1.0
-2.211 2.562 -5.418
3.960 -6.709 -4.788
-5.456 -3.276 4.444
Ce Y Pb
4 2 6
Cartesian
-0.978 -3.295 -4.923 Ce
-2.959 0.060 -2.531 Ce
-0.750 -7.484 -3.231 Ce
-2.730 -4.128 -0.839 Ce
0.760 -2.472 -9.005 Y
0.988 -1.675 -1.201 Y
-0.118 -0.394 -3.911 Pb
1.866 -3.753 -6.295 Pb
-1.873 -1.234 0.180 Pb
-3.816 -2.834 -3.550 Pb
0.108 -4.589 -2.212 Pb
-1.836 -6.189 -5.942 Pb
```

Output
- formation enthalpy at 0 K (eV/atom) = -0.3255
- ΔE to the lowest computed polymorph (meV/atom) = 83.8
- SG = C2/c
- ρ (Mg/m³) = 8.41
- total magnetization (μB/cell) = 0.27
- D(E_F) (states/eV per atom) = 1.311

A relaxed structure of Ce2Y2Pb7, computed with PBE.

Cell and atoms, written as POSCAR:
```
Ce2Y2Pb7
1.0
-5.323 4.634 -2.951
-1.431 -6.450 -2.416
-3.319 -3.773 5.769
Ce Y Pb
2 2 7
Cartesian
-7.689 -2.529 1.065 Ce
-2.383 -3.059 -0.664 Ce
-4.814 2.452 -0.722 Y
-5.259 -8.040 1.123 Y
-7.346 0.596 -0.276 Pb
-7.192 -5.739 2.133 Pb
-2.727 -6.184 0.678 Pb
-2.881 0.151 -1.732 Pb
0.000 0.000 0.000 Pb
-5.343 -4.747 -0.144 Pb
-4.729 -0.841 0.545 Pb
```

Output
- formation enthalpy at 0 K (eV/atom) = -0.1044
- SG = C2/m
- ρ (Mg/m³) = 8.58
- total magnetization (μB/cell) = 3.35
- D(E_F) (states/eV per atom) = 1.637

A relaxed structure of CeY2Pb, computed with PBE.

Cell and atoms, written as POSCAR:
```
CeY2Pb
1.0
-0.216 -4.874 2.454
-1.742 -4.375 -2.766
3.527 -3.924 -1.407
Pb Y Ce
1 2 1
Cartesian
0.000 0.000 0.000 Pb
1.178 -9.880 -1.290 Y
0.391 -3.293 -0.429 Y
0.785 -6.586 -0.860 Ce
```

Output
- formation enthalpy at 0 K (eV/atom) = -0.0693
- ΔE to the lowest computed polymorph (meV/atom) = 186.1
- SG = Fm-3m
- ρ (Mg/m³) = 7.57
- total magnetization (μB/cell) = 1.87
- D(E_F) (states/eV per atom) = 2.414

A relaxed structure of Ce5YPb6, computed with PBE.

Cell and atoms, written as POSCAR:
```
Ce5YPb6
1.0
-2.976 -5.086 0.628
5.551 -3.447 -1.581
0.992 3.994 9.075
Y Pb Ce
1 6 5
Cartesian
0.000 0.000 0.000 Y
2.135 -0.946 2.458 Pb
4.928 -2.681 1.662 Pb
-0.115 -3.395 -0.077 Pb
2.690 -5.138 -0.876 Pb
-1.361 -1.857 6.460 Pb
1.432 -3.592 5.664 Pb
4.302 -1.906 4.966 Ce
2.051 -4.357 2.403 Ce
2.776 -1.723 -0.790 Ce
1.516 -0.181 5.719 Ce
-0.735 -2.633 3.156 Ce
```

Output
- formation enthalpy at 0 K (eV/atom) = -0.4026
- ΔE to the lowest computed polymorph (meV/atom) = 0.0
- SG = Immm
- ρ (Mg/m³) = 9.52
- total magnetization (μB/cell) = 6.19
- D(E_F) (states/eV per atom) = 2.624

A relaxed structure of Ce3YPb3, computed with PBE.

Cell and atoms, written as POSCAR:
```
Ce3YPb3
1.0
5.496 0.000 0.000
0.000 9.355 0.000
0.000 -4.678 8.102
Ce Y Pb
6 2 6
Cartesian
1.374 3.691 6.239 Ce
1.374 2.106 0.077 Ce
1.374 8.236 1.786 Ce
4.122 0.986 1.863 Ce
4.122 2.571 8.025 Ce
4.122 -3.558 6.316 Ce
1.374 4.678 2.701 Y
4.122 0.000 5.401 Y
4.122 3.256 4.399 Pb
4.122 3.918 0.621 Pb
4.122 6.859 3.083 Pb
1.374 1.422 3.703 Pb
1.374 0.760 7.481 Pb
1.374 -2.181 5.019 Pb
```

Output
- formation enthalpy at 0 K (eV/atom) = -0.2193
- SG = P6_3/m
- ρ (Mg/m³) = 9.02
- total magnetization (μB/cell) = 6.20
- D(E_F) (states/eV per atom) = 2.378

A relaxed structure of Ce5YPb3, computed with PBE.

Cell and atoms, written as POSCAR:
```
Ce5YPb3
1.0
6.719 0.000 0.000
0.000 9.611 0.000
0.000 -4.805 8.323
Ce Y Pb
10 2 6
Cartesian
0.000 4.805 2.775 Ce
3.360 0.000 5.548 Ce
0.000 0.000 5.548 Ce
3.360 4.805 2.775 Ce
5.039 3.154 5.463 Ce
5.039 -1.651 2.860 Ce
5.039 3.302 0.000 Ce
1.680 1.651 2.860 Ce
1.680 6.456 5.463 Ce
1.680 6.308 0.000 Ce
0.000 0.000 0.000 Y
3.360 0.000 0.000 Y
5.039 1.551 2.686 Pb
5.039 6.356 5.637 Pb
5.039 6.509 0.000 Pb
1.680 3.254 5.637 Pb
1.680 -1.551 2.686 Pb
1.680 3.102 0.000 Pb
```

Output
- formation enthalpy at 0 K (eV/atom) = -0.3157
- SG = P6_3/mcm
- ρ (Mg/m³) = 8.72
- total magnetization (μB/cell) = 17.16
- D(E_F) (states/eV per atom) = 2.876

A relaxed structure of CeY3Pb2, computed with PBE.

Cell and atoms, written as POSCAR:
```
CeY3Pb2
1.0
7.539 0.000 0.000
0.000 7.474 0.000
-3.770 -3.737 7.375
Ce Y Pb
2 6 4
Cartesian
0.000 3.737 0.000 Ce
0.000 0.000 0.000 Ce
3.770 1.868 0.000 Y
3.770 5.605 0.000 Y
3.770 -1.868 4.274 Y
0.000 1.868 3.101 Y
0.000 5.605 3.101 Y
3.770 1.868 4.274 Y
1.362 0.000 5.254 Pb
5.132 0.000 2.122 Pb
-1.362 3.737 5.254 Pb
2.407 3.737 2.122 Pb
```

Output
- formation enthalpy at 0 K (eV/atom) = -0.1398
- SG = Ibam
- ρ (Mg/m³) = 6.56
- total magnetization (μB/cell) = 5.44
- D(E_F) (states/eV per atom) = 1.762

A relaxed structure of Ce6YPb10, computed with PBE.

Cell and atoms, written as POSCAR:
```
Ce6YPb10
1.0
-5.473 -3.544 0.403
3.844 -5.133 7.071
-4.970 7.902 1.994
Ce Y Pb
6 1 10
Cartesian
-4.471 -1.546 3.794 Ce
-7.090 2.240 1.522 Ce
-1.676 -5.767 4.641 Ce
-2.128 0.771 5.674 Ce
-3.353 2.118 0.875 Ce
0.047 -2.910 2.833 Ce
-2.736 -1.772 0.201 Y
-5.132 -0.755 6.972 Pb
-5.626 -0.686 0.847 Pb
-3.283 -4.152 2.197 Pb
-1.467 -0.020 2.496 Pb
-4.816 5.045 1.550 Pb
1.654 -4.524 5.277 Pb
-4.769 1.785 3.888 Pb
-1.831 -2.560 5.580 Pb
0.906 -0.788 5.379 Pb
-2.032 3.557 3.687 Pb
```

Output
- formation enthalpy at 0 K (eV/atom) = -0.3407
- SG = P-31m
- ρ (Mg/m³) = 9.67
- total magnetization (μB/cell) = 5.16
- D(E_F) (states/eV per atom) = 2.271

A relaxed structure of CeY2Pb, computed with PBE.

Cell and atoms, written as POSCAR:
```
CeY2Pb
1.0
-2.220 2.673 1.757
-3.175 -2.097 -0.822
0.767 -3.818 6.777
Pb Y Ce
1 2 1
Cartesian
-2.698 0.288 0.467 Pb
0.592 -2.943 5.224 Y
0.176 -0.875 1.553 Y
-2.314 -1.621 3.856 Ce
```

Output
- formation enthalpy at 0 K (eV/atom) = -0.1617
- ΔE to the lowest computed polymorph (meV/atom) = 93.7
- SG = P4/mmm
- ρ (Mg/m³) = 7.36
- total magnetization (μB/cell) = 0.95
- D(E_F) (states/eV per atom) = 2.009

A relaxed structure of CeYPb, computed with PBE.

Cell and atoms, written as POSCAR:
```
CeYPb
1.0
-0.186 -0.184 -5.635
-2.806 -2.043 0.159
-3.976 8.624 2.673
Ce Y Pb
2 2 2
Cartesian
-1.451 -1.069 -1.375 Ce
-1.541 -1.158 -4.101 Ce
-5.006 3.925 0.037 Y
-1.961 2.473 -2.840 Y
-3.830 5.038 -2.862 Pb
-3.137 1.359 0.059 Pb
```

Output
- formation enthalpy at 0 K (eV/atom) = -0.1764
- SG = Immm
- ρ (Mg/m³) = 7.95
- total magnetization (μB/cell) = 1.86
- D(E_F) (states/eV per atom) = 1.702

A relaxed structure of Ce3Y2Pb6, computed with PBE.

Cell and atoms, written as POSCAR:
```
Ce3Y2Pb6
1.0
-0.453 -1.142 5.842
-1.832 -5.548 -1.226
11.669 -0.161 -2.176
Ce Y Pb
3 2 6
Cartesian
0.000 0.000 0.000 Ce
6.335 -5.834 2.401 Ce
3.050 -1.015 0.038 Ce
8.922 -2.971 0.112 Y
0.462 -3.879 2.328 Y
0.664 -3.300 -0.593 Pb
1.353 -1.097 2.941 Pb
8.720 -3.550 3.033 Pb
8.031 -5.753 -0.501 Pb
3.319 -4.830 2.363 Pb
6.065 -2.020 0.076 Pb
```

Output
- formation enthalpy at 0 K (eV/atom) = -0.0797
- SG = I4/mmm
- ρ (Mg/m³) = 7.73
- total magnetization (μB/cell) = 2.81
- D(E_F) (states/eV per atom) = 2.094

A relaxed structure of CeYPb6, computed with PBE.

Cell and atoms, written as POSCAR:
```
CeYPb6
1.0
4.911 0.000 0.000
0.000 4.911 0.000
0.000 0.000 9.770
Ce Y Pb
1 1 6
Cartesian
0.000 0.000 0.000 Ce
0.000 0.000 4.885 Y
2.456 2.456 0.000 Pb
2.456 2.456 4.885 Pb
2.456 0.000 2.467 Pb
2.456 0.000 7.303 Pb
0.000 2.456 2.467 Pb
0.000 2.456 7.303 Pb
```

Output
- formation enthalpy at 0 K (eV/atom) = -0.3191
- SG = P4/mmm
- ρ (Mg/m³) = 10.37
- total magnetization (μB/cell) = 1.02
- D(E_F) (states/eV per atom) = 1.141